[1]
VASP calculation (GGA-PBE) on a geometry-optimized Hf2NiTeMo structure.

Lattice parameters (Å, degrees): 5.0990 4.4572 5.0990 90.00 90.00 90.00
Closest atoms and distances in Å follow each position.
Atoms (fractional coordinates):
Ni 0.0000 0.5000 0.0000  2 Mo 2.23
Mo 0.0000 0.0000 0.0000  2 Ni 2.23
Te 0.5000 0.5000 0.5000  8 Hf 3.39, 4 Ni 3.61
Hf 0.0000 0.0000 0.5000  2 Mo 2.55
Hf 0.5000 0.0000 0.0000  2 Mo 2.55

Results
* space group: P4/mmm
* spin magnetization: 0.00 μB/atom
* E_form (uncorrected): 0.76 eV per atom

=====

[2]
VASP calculation (GGA-PBE) on a geometry-optimized Mn5Fe2Co structure.

Lattice parameters (Å, degrees): 4.0604 5.1554 5.1554 90.00 90.00 90.00
Closest atoms and distances in Å follow each position.
Atoms (fractional coordinates):
Mn 0.0000 0.7000 0.7000  2 Mn 2.06, 1 Co 2.19
Mn 0.0000 0.3000 0.7000  2 Mn 2.06, 1 Co 2.19
Mn 0.0000 0.7000 0.3000  2 Mn 2.06, 1 Co 2.19
Mn 0.5000 0.0000 0.0000  2 Co 2.03
Mn 0.0000 0.3000 0.3000  2 Mn 2.06, 1 Co 2.19
Fe 0.5000 0.5000 0.0000  10 Mn 2.58-2.75
Fe 0.5000 0.0000 0.5000  10 Mn 2.58-2.75
Co 0.0000 0.0000 0.0000  6 Mn 2.03-2.19

Results
* DFT total energy: -62.25 eV/cell
* space group: P4/mmm
* spin magnetization: 0.72 μB/atom

=====

[3]
VASP calculation (GGA-PBE) on a geometry-optimized La3Pr5Sc structure.

Lattice parameters (Å, degrees): 8.1146 8.1146 11.8296 84.51 84.51 60.25
Closest atoms and distances in Å follow each position.
Atoms (fractional coordinates):
La 0.6712 0.6712 0.7758  3 Pr 3.03-3.38
La 0.7380 0.7380 0.4694  1 Sc 3.26, 1 Pr 3.55, 1 La 3.64
La 0.0000 0.0000 0.0000  2 Pr 2.69
La 0.0000 0.0000 0.5000  2 Sc 3.36, 4 Pr 3.73, 2 La 3.73
La 0.3288 0.3288 0.2242  3 Pr 3.03-3.38
La 0.2620 0.2620 0.5306  1 Sc 3.26, 1 Pr 3.55, 1 La 3.64
Pr 0.9096 0.3310 0.2426  3 Pr 3.25-3.62, 1 La 3.38, 1 Sc 3.49
Pr 0.3301 0.6699 0.0000  1 La 2.69, 1 Pr 2.77
Pr 0.7544 0.7544 0.0413  2 La 3.43-3.47, 1 Sc 3.43, 2 Pr 3.71
Pr 0.4916 0.4916 0.3717  1 La 3.03, 3 Pr 3.07-3.25
Pr 0.5084 0.5084 0.6283  1 La 3.03, 3 Pr 3.07-3.25
Pr 0.2456 0.2456 0.9587  2 La 3.43-3.47, 1 Sc 3.43, 2 Pr 3.71
Pr 0.3310 0.9096 0.2426  3 Pr 3.25-3.62, 1 La 3.38, 1 Sc 3.49
Pr 0.6699 0.3301 0.0000  1 La 2.69, 1 Pr 2.77
Pr 0.0904 0.6690 0.7574  3 Pr 3.25-3.62, 1 La 3.38, 1 Sc 3.49
Pr 0.6690 0.0904 0.7574  3 Pr 3.25-3.62, 1 La 3.38, 1 Sc 3.49
Sc 0.0966 0.0966 0.7476  3 La 3.14-3.36, 3 Pr 3.43-3.49
Sc 0.9034 0.9034 0.2524  3 La 3.14-3.36, 3 Pr 3.43-3.49

Results
* DFT total energy: -82.59 eV/cell
* space group: C2/m
* spin magnetization: 0.00 μB/atom